# TcHg2Ir

An optimized crystal structure of TcHg2Ir (GGA-PBE, OQMD).

Summary:
SG: F-43m (216)
Calculated formation energy in eV/atom: 0.73

a = 4.6263 Å, b = 4.6263 Å, c = 4.6263 Å
α = 60.00°, β = 60.00°, γ = 60.00°
Closest atoms and distances in Å follow each position.
Fractional coordinates of all 4 atoms:
Hg 0.2500 0.2500 0.2500  4 Hg 2.83, 4 Tc 2.83
Hg 0.5000 0.5000 0.5000  4 Hg 2.83, 4 Ir 2.83
Tc 0.0000 0.0000 0.0000  4 Ir 2.83, 4 Hg 2.83
Ir 0.7500 0.7500 0.7500  4 Hg 2.83, 4 Tc 2.83

=====

# Hg2TeIr

An optimized crystal structure of Hg2TeIr (GGA-PBE, OQMD).

Summary:
SG: F-43m (216)
Final energy in eV/atom: -2.54

a = 4.9192 Å, b = 4.9192 Å, c = 4.9192 Å
α = 60.00°, β = 60.00°, γ = 60.00°
Closest atoms and distances in Å follow each position.
Fractional coordinates of all 4 atoms:
Ir 0.5000 0.5000 0.5000  4 Te 3.01, 4 Hg 3.01
Te 0.7500 0.7500 0.7500  4 Hg 3.01, 4 Ir 3.01
Hg 0.0000 0.0000 0.0000  4 Te 3.01, 4 Hg 3.01
Hg 0.2500 0.2500 0.2500  4 Ir 3.01, 4 Hg 3.01

=====

# HgTe2Ir

An optimized crystal structure of HgTe2Ir (GGA-PBE, OQMD).

Summary:
SG: F-43m (216)
Final energy in eV/atom: -3.12

a = 5.0290 Å, b = 5.0290 Å, c = 5.0290 Å
α = 60.00°, β = 60.00°, γ = 60.00°
Closest atoms and distances in Å follow each position.
Fractional coordinates of all 4 atoms:
Ir 0.2500 0.2500 0.2500  4 Te 3.08, 4 Hg 3.08
Te 0.0000 0.0000 0.0000  4 Ir 3.08, 4 Te 3.08
Te 0.7500 0.7500 0.7500  4 Hg 3.08, 4 Te 3.08
Hg 0.5000 0.5000 0.5000  4 Ir 3.08, 4 Te 3.08

=====

# TlHg3Te4Ir

An optimized crystal structure of TlHg3Te4Ir (GGA-PBE, OQMD).

Summary:
SG: P-43m (215)
Final energy in eV/atom: -2.59

a = 7.2012 Å, b = 7.2012 Å, c = 7.2012 Å
α = 90.00°, β = 90.00°, γ = 90.00°
Closest atoms and distances in Å follow each position.
Fractional coordinates of all 9 atoms:
Ir 0.5000 0.5000 0.5000  4 Te 2.57
Hg 0.5000 0.0000 0.5000  4 Te 2.98
Hg 0.0000 0.5000 0.5000  4 Te 2.98
Hg 0.5000 0.5000 0.0000  4 Te 2.98
Te 0.2936 0.2936 0.2936  1 Ir 2.57
Te 0.2936 0.7064 0.7064  1 Ir 2.57
Te 0.7064 0.2936 0.7064  1 Ir 2.57
Te 0.7064 0.7064 0.2936  1 Ir 2.57
Tl 0.0000 0.0000 0.0000  4 Te 3.66

=====

# ThHgIr

An optimized crystal structure of ThHgIr (GGA-PBE, OQMD).

Summary:
SG: F-43m (216)
Calculated formation energy in eV/atom: 0.16

a = 4.7826 Å, b = 4.7826 Å, c = 4.7826 Å
α = 60.00°, β = 60.00°, γ = 60.00°
Closest atoms and distances in Å follow each position.
Fractional coordinates of all 3 atoms:
Th 0.7500 0.7500 0.7500  4 Hg 2.93
Hg 0.0000 0.0000 0.0000  4 Th 2.93, 4 Ir 2.93
Ir 0.2500 0.2500 0.2500  4 Hg 2.93

=====

# Tm4Hg5Ir2

An optimized crystal structure of Tm4Hg5Ir2 (GGA-PBE, OQMD).

Summary:
SG: P2/m (10)
Calculated formation energy in eV/atom: -0.56

a = 7.6330 Å, b = 3.5531 Å, c = 9.5032 Å
α = 90.00°, β = 94.93°, γ = 90.00°
Closest atoms and distances in Å follow each position.
Fractional coordinates of all 11 atoms:
Hg 0.4612 0.0000 0.1654  1 Ir 2.89, 2 Hg 3.17-3.23
Hg 0.8311 0.0000 0.3571  1 Ir 2.92, 2 Hg 2.97-3.23, 2 Tm 3.21
Hg 0.5000 0.0000 0.5000  4 Hg 2.97-3.17, 4 Tm 3.24
Hg 0.1689 0.0000 0.6429  1 Ir 2.92, 2 Hg 2.97-3.23, 2 Tm 3.21
Hg 0.5388 0.0000 0.8346  1 Ir 2.89, 2 Hg 3.17-3.23
Tm 0.1809 0.5000 0.3518  2 Ir 2.74
Tm 0.8191 0.5000 0.6482  2 Ir 2.74
Tm 0.7887 0.5000 0.0620  4 Ir 2.86-2.90
Tm 0.2113 0.5000 0.9380  4 Ir 2.86-2.90
Ir 0.0809 0.0000 0.1407  6 Tm 2.74-2.90, 1 Ir 2.85, 2 Hg 2.89-2.92
Ir 0.9191 0.0000 0.8593  6 Tm 2.74-2.90, 1 Ir 2.85, 2 Hg 2.89-2.92

=====

# Hg2IrW

An optimized crystal structure of Hg2IrW (GGA-PBE, OQMD).

Summary:
SG: F-43m (216)
Calculated formation energy in eV/atom: 0.81

a = 4.6550 Å, b = 4.6550 Å, c = 4.6550 Å
α = 60.00°, β = 60.00°, γ = 60.00°
Closest atoms and distances in Å follow each position.
Fractional coordinates of all 4 atoms:
Hg 0.0000 0.0000 0.0000  4 Hg 2.85, 4 W 2.85
Hg 0.2500 0.2500 0.2500  4 Hg 2.85, 4 Ir 2.85
W 0.7500 0.7500 0.7500  4 Hg 2.85, 4 Ir 2.85
Ir 0.5000 0.5000 0.5000  4 Hg 2.85, 4 W 2.85

=====

# Y2HgIr

An optimized crystal structure of Y2HgIr (GGA-PBE, OQMD).

Summary:
SG: F-43m (216)
Calculated formation energy in eV/atom: -0.30

a = 4.9258 Å, b = 4.9258 Å, c = 4.9258 Å
α = 60.00°, β = 60.00°, γ = 60.00°
Closest atoms and distances in Å follow each position.
Fractional coordinates of all 4 atoms:
Y 0.7500 0.7500 0.7500  4 Hg 3.02, 4 Y 3.02
Y 0.0000 0.0000 0.0000  4 Ir 3.02, 4 Y 3.02
Ir 0.2500 0.2500 0.2500  4 Hg 3.02, 4 Y 3.02
Hg 0.5000 0.5000 0.5000  4 Ir 3.02, 4 Y 3.02